No. 1
An optimized crystal structure of LuCuAsIr, computed with PBE.

Cell lengths 4.610, 4.610, 4.610 Å; angles 60.00, 60.00, 60.00 degrees
Element x y z (fractional)
Lu 0.000 0.000 0.000
Cu 0.500 0.500 0.500
As 0.250 0.250 0.250
Ir 0.750 0.750 0.750

Properties
V, Å³/f.u.: 69.3
Crystal system: cubic
Polymorph energy (0 for the lowest one), meV per atom: 191

No. 2
An optimized crystal structure of ErNbGa, computed with PBE.

Cell lengths 4.594, 4.594, 4.594 Å; angles 60.00, 60.00, 60.00 degrees
Element x y z (fractional)
Er 0.000 0.000 0.000
Nb 0.500 0.500 0.500
Ga 0.250 0.250 0.250

Properties
V, Å³/f.u.: 68.5
Crystal system: cubic
Polymorph energy (0 for the lowest one), meV per atom: 0

No. 3
An optimized crystal structure of NdNbMo, computed with PBE.

Cell lengths 4.667, 4.667, 4.667 Å; angles 60.00, 60.00, 60.00 degrees
Element x y z (fractional)
Nd 0.000 0.000 0.000
Nb 0.250 0.250 0.250
Mo 0.750 0.750 0.750

Properties
Formation energy, eV per atom: 1.70
V, Å³/f.u.: 71.9
Crystal system: cubic
Polymorph energy (0 for the lowest one), meV per atom: 790

No. 4
An optimized crystal structure of SmLuBe, computed with PBE.

Cell lengths 4.724, 4.724, 4.724 Å; angles 60.00, 60.00, 60.00 degrees
Element x y z (fractional)
Sm 0.000 0.000 0.000
Lu 0.750 0.750 0.750
Be 0.500 0.500 0.500

Properties
V, Å³/f.u.: 74.5
Crystal system: cubic
Polymorph energy (0 for the lowest one), meV per atom: 0

No. 5
An optimized crystal structure of HoErTlFe2, computed with PBE.

Cell lengths 3.927, 7.147, 7.147 Å; angles 30.67, 90.00, 90.00 degrees
Element x y z (fractional)
Ho 0.000 0.000 0.000
Er 0.000 0.280 0.280
Tl 0.500 0.640 0.640
Fe 0.500 0.430 0.430
Fe 0.500 0.849 0.849

Properties
V, Å³/f.u.: 102.3
Crystal system: orthorhombic
Final energy, eV for the cell shown: -28.9

No. 6
An optimized crystal structure of SrTmO3, computed with PBE.

Cell lengths 6.269, 6.269, 6.269 Å; angles 56.28, 56.28, 56.28 degrees
Element x y z (fractional)
Sr 0.134 0.134 0.134
Sr 0.866 0.866 0.866
Tm 0.350 0.350 0.350
Tm 0.650 0.650 0.650
O 0.048 0.477 0.706
O 0.294 0.952 0.523
O 0.477 0.706 0.048
O 0.523 0.294 0.952
O 0.706 0.048 0.477
O 0.952 0.523 0.294

Properties
V, Å³/f.u.: 79.6
Crystal system: trigonal
Final energy, eV for the cell shown: -69.7

No. 7
An optimized crystal structure of ZrBeCuSi, computed with PBE.

Cell lengths 4.290, 4.290, 4.290 Å; angles 60.00, 60.00, 60.00 degrees
Element x y z (fractional)
Zr 0.000 0.000 0.000
Be 0.750 0.750 0.750
Cu 0.250 0.250 0.250
Si 0.500 0.500 0.500

Properties
V, Å³/f.u.: 55.8
Crystal system: cubic
Polymorph energy (0 for the lowest one), meV per atom: 71

No. 8
An optimized crystal structure of Tm3Mg3ZnAu2, computed with PBE.

Cell lengths 7.555, 7.555, 4.026 Å; angles 90.00, 90.00, 120.00 degrees
Element x y z (fractional)
Tm 0.000 0.585 0.000
Tm 0.415 0.415 0.000
Tm 0.585 0.000 0.000
Mg 0.000 0.246 0.500
Mg 0.246 0.000 0.500
Mg 0.754 0.754 0.500
Zn 0.000 0.000 0.000
Au 0.333 0.667 0.500
Au 0.667 0.333 0.500

Properties
V, Å³/f.u.: 199.0
Crystal system: hexagonal
Final energy, eV for the cell shown: -30.8

No. 9
An optimized crystal structure of Ho4IrPd2, computed with PBE.

Cell lengths 3.946, 3.946, 14.699 Å; angles 90.00, 90.00, 120.00 degrees
Element x y z (fractional)
Ho 0.333 0.667 0.398
Ho 0.333 0.667 0.900
Ho 0.667 0.333 0.100
Ho 0.667 0.333 0.602
Ir 0.000 0.000 0.500
Pd 0.333 0.667 0.202
Pd 0.667 0.333 0.798

Properties
Formation energy, eV per atom: -0.39
V, Å³/f.u.: 198.2
Crystal system: trigonal

No. 10
An optimized crystal structure of Nb4InSnN2, computed with PBE.

Cell lengths 3.249, 3.249, 13.883 Å; angles 90.00, 90.00, 120.00 degrees
Element x y z (fractional)
Nb 0.000 0.000 0.168
Nb 0.000 0.000 0.832
Nb 0.333 0.667 0.329
Nb 0.333 0.667 0.671
In 0.000 0.000 0.500
Sn 0.333 0.667 0.000
N 0.667 0.333 0.248
N 0.667 0.333 0.752

Properties
V, Å³/f.u.: 126.9
Crystal system: hexagonal
Final energy, eV for the cell shown: -68.1

No. 11
An optimized crystal structure of YSn2Mo, computed with PBE.

Cell lengths 5.035, 5.035, 5.035 Å; angles 60.00, 60.00, 60.00 degrees
Element x y z (fractional)
Y 0.000 0.000 0.000
Sn 0.500 0.500 0.500
Sn 0.750 0.750 0.750
Mo 0.250 0.250 0.250

Properties
V, Å³/f.u.: 90.3
Crystal system: cubic
Final energy, eV for the cell shown: -24.1

No. 12
An optimized crystal structure of Ho2ZnHg, computed with PBE.

Cell lengths 3.598, 3.598, 7.337 Å; angles 90.00, 90.00, 90.00 degrees
Element x y z (fractional)
Ho 0.000 0.000 0.234
Ho 0.000 0.000 0.766
Zn 0.500 0.500 0.000
Hg 0.500 0.500 0.500

Properties
Formation energy, eV per atom: -0.42
V, Å³/f.u.: 95.0
Crystal system: tetragonal

> Among the records above, which one has the lowest V?

ZrBeCuSi

> Which formula does entry 2 have?

ErNbGa

Copy entry 11 word for word.
An optimized crystal structure of YSn2Mo, computed with PBE.

Cell lengths 5.035, 5.035, 5.035 Å; angles 60.00, 60.00, 60.00 degrees
Element x y z (fractional)
Y 0.000 0.000 0.000
Sn 0.500 0.500 0.500
Sn 0.750 0.750 0.750
Mo 0.250 0.250 0.250

Properties
V, Å³/f.u.: 90.3
Crystal system: cubic
Final energy, eV for the cell shown: -24.1

> Number 6 is which compound?

SrTmO3